[1]
Compound: CaZr2InW
Source: Alexandria
Functional: PBE
Structure: optimized geometry

abc: 5.362 5.088 5.362
angles: 90.00 90.00 90.00
Site moments in Bohr magnetons follow the coordinates.
Sites, in units of the cell vectors:
Zr1 0.500 0.000 0.000  -0.24
Zr2 0.000 0.000 0.500  -0.23
Ca1 0.500 0.500 0.500  -0.01
In1 0.000 0.000 0.000  -0.01
W1 0.000 0.500 0.000  1.11

- Spin magnetization: 0.13 μB per atom
- Calculated formation energy: 1351 meV/atom


[2]
Compound: CaYIn
Source: Alexandria
Functional: PBE
Structure: optimized geometry

abc: 5.948 5.948 5.948
angles: 145.27 132.01 60.58
Sites, in units of the cell vectors:
Y1 0.323 0.323 0.000
In1 0.670 0.670 0.000
Ca1 0.007 0.007 0.000

- Spin magnetization: 0.00 μB per atom
- Calculated formation energy: -208 meV/atom
- Distance to the lowest polymorph of the same formula: 196 meV/atom


[3]
Compound: CaYIn
Source: Alexandria
Functional: PBE
Structure: optimized geometry

abc: 5.280 5.280 11.850
angles: 90.00 90.00 120.00
Site moments in Bohr magnetons follow the coordinates.
Sites, in units of the cell vectors:
Ca1 0.333 0.667 0.250  0.00
Ca2 0.667 0.333 0.750  0.00
In1 0.000 0.000 0.250  0.02
In2 0.000 0.000 0.750  0.02
Y1 0.000 0.000 0.000  0.16
Y2 0.000 0.000 0.500  0.16

- Spin magnetization: 0.14 μB per atom
- Calculated formation energy: 541 meV/atom
- Distance to the lowest polymorph of the same formula: 945 meV/atom


[4]
Compound: Ca2YIn4
Source: Alexandria
Functional: PBE
Structure: optimized geometry

abc: 6.513 6.513 6.513
angles: 105.09 111.71 111.71
Sites, in units of the cell vectors:
In1 0.000 0.000 0.500
In2 0.000 0.500 0.000
In3 0.500 0.000 0.000
In4 0.500 0.500 0.500
Ca1 0.500 0.500 0.000
Ca2 0.500 0.000 0.500
Y1 0.000 0.000 0.000

- Spin magnetization: 0.00 μB per atom
- Calculated formation energy: -332 meV/atom


[5]
Compound: Ca2YIn
Source: Alexandria
Functional: PBE
Structure: optimized geometry

abc: 9.074 9.074 7.230
angles: 51.13 51.13 90.00
Sites, in units of the cell vectors:
In1 0.750 0.250 0.500
In2 0.000 0.000 0.000
Ca1 0.664 0.125 0.250
Ca2 0.086 0.625 0.250
Ca3 0.375 0.336 0.750
Ca4 0.875 0.914 0.750
Y1 0.500 0.500 0.000
Y2 0.250 0.750 0.500

- Spin magnetization: 0.00 μB per atom
- Calculated formation energy: 83 meV/atom


[6]
Compound: CaY2In9
Source: Alexandria
Functional: PBE
Structure: optimized geometry

abc: 4.670 4.670 14.005
angles: 90.00 90.00 90.00
Sites, in units of the cell vectors:
In1 0.500 0.000 0.168
In2 0.000 0.500 0.168
In3 0.500 0.500 0.666
In4 0.000 0.500 0.832
In5 0.500 0.500 0.000
In6 0.500 0.000 0.500
In7 0.500 0.000 0.832
In8 0.000 0.500 0.500
In9 0.500 0.500 0.334
Ca1 0.000 0.000 0.000
Y1 0.000 0.000 0.664
Y2 0.000 0.000 0.336

- Spin magnetization: 0.00 μB per atom
- Calculated formation energy: -393 meV/atom


[7]
Compound: Ca2YIn
Source: Alexandria
Functional: PBE
Structure: optimized geometry

abc: 4.857 4.861 5.249
angles: 90.00 90.00 90.00
Sites, in units of the cell vectors:
In1 0.500 0.000 0.500
Ca1 0.500 0.500 0.000
Ca2 0.000 0.000 0.000
Y1 0.000 0.500 0.500

- Spin magnetization: 0.01 μB per atom
- Calculated formation energy: -184 meV/atom


[8]
Compound: CaYIn
Source: Alexandria
Functional: PBE
Structure: optimized geometry

abc: 8.840 5.376 5.354
angles: 90.13 72.31 127.53
Sites, in units of the cell vectors:
Y1 0.401 0.344 0.172
Y2 0.958 0.902 0.893
Ca1 0.379 0.822 0.683
Ca2 0.980 0.424 0.382
In1 0.679 0.123 0.033
In2 0.679 0.623 0.533

- Spin magnetization: 0.00 μB per atom
- Calculated formation energy: -282 meV/atom
- Distance to the lowest polymorph of the same formula: 121 meV/atom


[9]
Compound: CaY5In4
Source: Alexandria
Functional: PBE
Structure: optimized geometry

abc: 3.688 3.688 21.181
angles: 90.00 90.00 90.00
Sites, in units of the cell vectors:
In1 0.000 0.000 0.779
In2 0.000 0.000 0.593
In3 0.000 0.000 0.407
In4 0.000 0.000 0.221
Y1 0.500 0.500 0.314
Y2 0.500 0.500 0.500
Y3 0.500 0.500 0.130
Y4 0.500 0.500 0.870
Y5 0.500 0.500 0.686
Ca1 0.000 0.000 0.000

- Spin magnetization: 0.00 μB per atom
- Calculated formation energy: -378 meV/atom


[10]
Compound: Ca3YIn4
Source: Alexandria
Functional: PBE
Structure: optimized geometry

abc: 3.806 3.806 15.483
angles: 90.00 90.00 90.00
Sites, in units of the cell vectors:
In1 0.000 0.000 0.627
In2 0.000 0.000 0.879
In3 0.000 0.000 0.373
In4 0.000 0.000 0.121
Ca1 0.500 0.500 0.752
Ca2 0.500 0.500 0.500
Ca3 0.500 0.500 0.248
Y1 0.500 0.500 0.000

- Spin magnetization: 0.00 μB per atom
- Calculated formation energy: -474 meV/atom


[11]
Compound: Ca2YIn
Source: Alexandria
Functional: PBE
Structure: optimized geometry

abc: 3.717 3.717 9.748
angles: 90.00 90.00 90.00
Site moments in Bohr magnetons follow the coordinates.
Sites, in units of the cell vectors:
Ca1 0.500 0.500 0.299  0.00
Ca2 0.000 0.000 0.988  0.01
Y1 0.500 0.500 0.704  0.06
In1 0.000 0.000 0.509  0.00

- Spin magnetization: 0.03 μB per atom
- Calculated formation energy: -217 meV/atom


[12]
Compound: CaYIn
Source: Alexandria
Functional: PBE
Structure: optimized geometry

abc: 5.280 5.280 5.280
angles: 60.00 60.00 60.00
Sites, in units of the cell vectors:
In1 0.000 0.000 0.000
Y1 0.250 0.250 0.250
Ca1 0.750 0.750 0.750

- Spin magnetization: 0.00 μB per atom
- Calculated formation energy: -188 meV/atom
- Distance to the lowest polymorph of the same formula: 215 meV/atom